# Tm6HC2S3

A relaxed Tm6HC2S3 crystal (PBE, the Alexandria database).

Results
Final energy   -6.35 eV/atom
D(E_F)   2.653 states/eV/cell

Unit cell a=3.6716 b=7.5079 c=8.2693 alpha=104.66 beta=102.83 gamma=90.00
Closest atoms and distances in Å follow each position.
Positions (direct):
C 0.1646 0.3301 0.3291  6 Tm 2.38-2.51
C 0.8354 0.6699 0.6709  6 Tm 2.38-2.51
Tm 0.9882 0.7439 0.9764  1 C 2.38, 2 H 2.63, 2 S 2.63
S 0.8359 0.1657 0.6718  6 Tm 2.68-2.79
Tm 0.3351 0.8871 0.6702  2 C 2.46, 1 H 2.57, 1 S 2.68
S 0.5000 0.5000 0.0000  6 Tm 2.63-2.74
Tm 0.3246 0.4376 0.6492  3 C 2.50-2.51, 3 S 2.74-2.79
Tm 0.6754 0.5624 0.3508  3 C 2.50-2.51, 3 S 2.74-2.79
S 0.1641 0.8343 0.3282  6 Tm 2.68-2.79
Tm 0.6649 0.1129 0.3298  2 C 2.46, 1 H 2.57, 1 S 2.68
Tm 0.0118 0.2561 0.0236  1 C 2.38, 2 H 2.63, 2 S 2.63
H 0.5000 0.0000 0.0000  6 Tm 2.57-2.63



# CoH3Ru

A relaxed CoH3Ru crystal (PBE, the Alexandria database).

Results
Offset from the most stable computed form   102 meV per atom
D(E_F)   3.161 states/eV/cell

Unit cell a=3.3634 b=3.3634 c=3.3634 alpha=90.00 beta=90.00 gamma=90.00
Closest atoms and distances in Å follow each position.
Positions (direct):
H 0.5000 0.0000 0.0000  2 Ru 1.68
H 0.0000 0.5000 0.0000  2 Ru 1.68
Ru 0.0000 0.0000 0.0000  6 H 1.68
Co 0.5000 0.5000 0.5000  12 H 2.38
H 0.0000 0.0000 0.5000  2 Ru 1.68



# Y6CdSe5

A relaxed Y6CdSe5 crystal (PBE, the Alexandria database).

Results
Formation energy from raw total energies   -1.51 eV per atom
D(E_F)   4.329 states/eV/cell

Unit cell a=7.1381 b=7.1789 c=7.1591 alpha=59.91 beta=80.41 gamma=70.59
Closest atoms and distances in Å follow each position.
Positions (direct):
Y 0.7494 0.7454 0.0000  5 Se 2.89-2.93, 1 Cd 2.95
Y 0.7483 0.0836 0.3385  5 Se 2.89-2.93, 1 Cd 2.96
Se 0.5000 0.5000 0.0000  6 Y 2.89-2.93
Y 0.2517 0.9164 0.6615  5 Se 2.89-2.93, 1 Cd 2.96
Y 0.2506 0.2546 0.0000  5 Se 2.89-2.93, 1 Cd 2.95
Se 0.5000 0.8336 0.3328  6 Y 2.89-2.93
Se 0.0000 0.6662 0.6676  6 Y 2.91-2.92
Se 0.5000 0.1664 0.6672  6 Y 2.89-2.93
Se 0.0000 0.3338 0.3324  6 Y 2.91-2.92
Cd 0.0000 0.0000 0.0000  6 Y 2.95-2.96
Y 0.7483 0.4221 0.6615  5 Se 2.89-2.93, 1 Cd 2.96
Y 0.2517 0.5779 0.3385  5 Se 2.89-2.93, 1 Cd 2.96



# PH3Os

A relaxed PH3Os crystal (PBE, the Alexandria database).

Results
Offset from the most stable computed form   0 meV per atom
D(E_F)   0.381 states/eV/cell

Unit cell a=3.4886 b=3.4886 c=3.4886 alpha=90.00 beta=90.00 gamma=90.00
Closest atoms and distances in Å follow each position.
Positions (direct):
H 0.5000 0.0000 0.0000  2 Os 1.74
H 0.0000 0.0000 0.5000  2 Os 1.74
P 0.5000 0.5000 0.5000  12 H 2.47
Os 0.0000 0.0000 0.0000  6 H 1.74
H 0.0000 0.5000 0.0000  2 Os 1.74



# ZrTaAl2

A relaxed ZrTaAl2 crystal (PBE, the Alexandria database).

Results
Offset from the most stable computed form   256 meV per atom
D(E_F)   3.095 states/eV/cell
Formation energy from the elements   -0.073 eV per atom

Unit cell a=3.5626 b=3.5626 c=5.9154 alpha=90.00 beta=90.00 gamma=90.00
Closest atoms and distances in Å follow each position.
Positions (direct):
Ta 0.0000 0.0000 0.5007  4 Zr 2.88, 6 Al 2.90-3.02
Al 0.0000 0.0000 0.0104  4 Al 2.90, 2 Ta 2.90-3.02, 4 Zr 3.00
Zr 0.5000 0.5000 0.7366  6 Al 2.86-3.05, 4 Ta 2.88
Al 0.5000 0.5000 0.2523  2 Zr 2.86-3.05, 4 Al 2.90, 4 Ta 2.92



# Cu2As2Os

A relaxed Cu2As2Os crystal (PBE, the Alexandria database).

Results
D(E_F)   4.047 states/eV/cell
Formation energy from the elements   0.296 eV per atom

Unit cell a=6.2477 b=6.2477 c=4.1896 alpha=90.00 beta=90.00 gamma=90.00
Closest atoms and distances in Å follow each position.
Positions (direct):
As 0.1365 0.3635 0.0000  2 Cu 2.40, 1 As 2.41, 2 Os 2.43
Cu 0.2319 0.7319 0.5000  2 As 2.40
As 0.6365 0.1365 0.0000  2 Cu 2.40, 1 As 2.41, 2 Os 2.43
Cu 0.2681 0.2319 0.5000  2 As 2.40
As 0.8635 0.6365 0.0000  2 Cu 2.40, 1 As 2.41, 2 Os 2.43
Os 0.5000 0.5000 0.0000  4 As 2.43
As 0.3635 0.8635 0.0000  2 Cu 2.40, 1 As 2.41, 2 Os 2.43
Cu 0.7681 0.2681 0.5000  2 As 2.40
Os 0.0000 0.0000 0.0000  4 As 2.43
Cu 0.7319 0.7681 0.5000  2 As 2.40



# Ta5Zn3

A relaxed Ta5Zn3 crystal (PBE, the Alexandria database).

Results
Offset from the most stable computed form   0 meV per atom
D(E_F)   11.327 states/eV/cell
Formation energy from the elements   0.052 eV per atom

Unit cell a=5.0544 b=7.6946 c=7.6946 alpha=96.19 beta=109.17 gamma=70.83
Closest atoms and distances in Å follow each position.
Positions (direct):
Zn 0.2504 0.9998 0.0002  2 Zn 2.53, 8 Ta 2.72
Ta 0.2786 0.2984 0.8556  6 Zn 2.71-2.93, 3 Ta 2.93-2.98
Ta 0.0766 0.7015 0.8557  6 Zn 2.71-2.93, 3 Ta 2.93-2.99
Ta 0.5765 0.1447 0.2989  6 Zn 2.71-2.93, 3 Ta 2.93-2.99
Ta 0.9243 0.2985 0.1452  6 Zn 2.71-2.93, 3 Ta 2.93-2.99
Zn 0.1654 0.1682 0.5004  10 Ta 2.71-2.93
Zn 0.7504 0.0002 0.0006  2 Zn 2.53, 8 Ta 2.72
Ta 0.7223 0.7016 0.1453  6 Zn 2.71-2.93, 3 Ta 2.93-2.98
Ta 0.7504 0.5006 0.5010  2 Ta 2.53, 4 Zn 2.72
Zn 0.8352 0.8319 0.5005  10 Ta 2.71-2.93
Zn 0.6655 0.5000 0.8323  10 Ta 2.71-2.93
Ta 0.2504 0.4994 0.4999  2 Ta 2.53, 4 Zn 2.72
Ta 0.4243 0.8552 0.7019  6 Zn 2.71-2.93, 3 Ta 2.93-2.99
Zn 0.3354 0.5000 0.1686  10 Ta 2.71-2.93
Ta 0.7786 0.1449 0.7020  6 Zn 2.71-2.93, 3 Ta 2.93-2.98
Ta 0.2222 0.8552 0.2988  6 Zn 2.71-2.93, 3 Ta 2.93-2.98



# Te2PtSN

A relaxed Te2PtSN crystal (PBE, the Alexandria database).

Results
Offset from the most stable computed form   164 meV per atom
Formation energy from raw total energies   0.87 eV per atom
D(E_F)   3.576 states/eV/cell

Unit cell a=5.3984 b=5.3984 c=3.2816 alpha=90.00 beta=90.00 gamma=90.00
Closest atoms and distances in Å follow each position.
Positions (direct):
N 0.0000 0.0000 0.5000  2 S 1.64
S 0.0000 0.0000 0.0000  2 N 1.64
Te 0.5000 0.0000 0.0000  2 S 2.70
Pt 0.5000 0.5000 0.5000  8 Te 3.16, 2 Pt 3.28
Te 0.0000 0.5000 0.0000  2 S 2.70



# Sr2Sn4Rh5

A relaxed Sr2Sn4Rh5 crystal (PBE, the Alexandria database).

Results
D(E_F)   4.520 states/eV/cell
Formation energy from the elements   -0.573 eV per atom

Unit cell a=6.0591 b=6.0267 c=8.4038 alpha=79.56 beta=68.87 gamma=59.82
Closest atoms and distances in Å follow each position.
Positions (direct):
Rh 0.5000 0.5000 0.0000  4 Sn 2.69
Sn 0.5319 0.6787 0.2576  5 Rh 2.60-2.69
Rh 0.7500 0.5000 0.5000  4 Sn 2.60
Sr 0.8774 0.0000 0.2452  6 Sn 3.46-3.54, 10 Rh 3.57-3.62, 1 Sr 3.84
Sn 0.7894 0.6787 0.7424  5 Rh 2.60-2.69
Rh 0.0000 0.5000 0.0000  4 Sn 2.69
Sn 0.2106 0.3213 0.2576  5 Rh 2.60-2.69
Rh 0.2500 0.5000 0.5000  4 Sn 2.60
Rh 0.5000 0.0000 0.0000  4 Sn 2.62
Sr 0.1226 0.0000 0.7548  6 Sn 3.46-3.54, 10 Rh 3.57-3.62, 1 Sr 3.84
Sn 0.4681 0.3213 0.7424  5 Rh 2.60-2.69



# Sc4TlSe3

A relaxed Sc4TlSe3 crystal (PBE, the Alexandria database).

Results
Formation energy from raw total energies   -1.27 eV per atom
D(E_F)   10.452 states/eV/cell

Unit cell a=3.7918 b=3.7918 c=27.9892 alpha=90.00 beta=90.00 gamma=120.00
Closest atoms and distances in Å follow each position.
Positions (direct):
Sc 0.6667 0.3333 0.5600  6 Se 2.70-2.76
Sc 0.0000 0.0000 0.3283  3 Se 2.68
Se 0.3333 0.6667 0.8834  6 Sc 2.68-2.70
Se 0.3333 0.6667 0.6166  6 Sc 2.68-2.70
Tl 0.6667 0.3333 0.7500  6 Sc 3.10
Se 0.6667 0.3333 0.3834  6 Sc 2.68-2.70
Sc 0.3333 0.6667 0.0600  6 Se 2.70-2.76
Se 0.6667 0.3333 0.1166  6 Sc 2.68-2.70
Se 0.0000 0.0000 0.5000  6 Sc 2.76
Sc 0.3333 0.6667 0.4400  6 Se 2.70-2.76
Sc 0.0000 0.0000 0.8283  3 Se 2.68
Se 0.0000 0.0000 0.0000  6 Sc 2.76
Sc 0.0000 0.0000 0.6717  3 Se 2.68
Tl 0.3333 0.6667 0.2500  6 Sc 3.10
Sc 0.0000 0.0000 0.1717  3 Se 2.68
Sc 0.6667 0.3333 0.9400  6 Se 2.70-2.76



# BiBS3

A relaxed BiBS3 crystal (PBE, the Alexandria database).

Results
Offset from the most stable computed form   1672 meV per atom
Formation energy from raw total energies   1.47 eV per atom
D(E_F)   5.525 states/eV/cell

Unit cell a=5.2292 b=5.2292 c=5.2292 alpha=90.00 beta=90.00 gamma=90.00
Closest atoms and distances in Å follow each position.
Positions (direct):
B 0.5000 0.5000 0.5000  12 S 3.70
S 0.0000 0.0000 0.5000  2 Bi 2.61
Bi 0.0000 0.0000 0.0000  6 S 2.61
S 0.0000 0.5000 0.0000  2 Bi 2.61
S 0.5000 0.0000 0.0000  2 Bi 2.61



# Sm5Ge2P

A relaxed Sm5Ge2P crystal (PBE, the Alexandria database).

Results
D(E_F)   15.104 states/eV/cell
Formation energy from the elements   -0.880 eV per atom

Unit cell a=4.3076 b=8.1991 c=12.0552 alpha=90.00 beta=90.00 gamma=90.00
Closest atoms and distances in Å follow each position.
Positions (direct):
Sm 0.5000 0.3026 0.5705  2 P 2.83
P 0.0000 0.0000 0.0000  6 Sm 2.78-2.83
P 0.0000 0.5000 0.5000  6 Sm 2.78-2.83
Sm 0.0000 0.8516 0.2073  1 P 2.78
Sm 0.0000 0.1484 0.7927  1 P 2.78
Sm 0.5000 0.8026 0.9295  2 P 2.83
Ge 0.5000 0.0758 0.3260  8 Sm 3.07-3.34
Sm 0.0000 0.5000 0.0000  4 Ge 3.07, 4 Sm 3.39
Sm 0.0000 0.6484 0.7073  1 P 2.78
Ge 0.5000 0.5758 0.1740  8 Sm 3.07-3.34
Sm 0.0000 0.3516 0.2927  1 P 2.78
Sm 0.5000 0.1974 0.0705  2 P 2.83
Sm 0.5000 0.6974 0.4295  2 P 2.83
Ge 0.5000 0.9242 0.6740  8 Sm 3.07-3.34
Sm 0.0000 0.0000 0.5000  4 Ge 3.07, 4 Sm 3.39
Ge 0.5000 0.4242 0.8260  8 Sm 3.07-3.34



# PmBePd3

A relaxed PmBePd3 crystal (PBE, the Alexandria database).

Results
Offset from the most stable computed form   74 meV per atom
D(E_F)   3.682 states/eV/cell
Formation energy from the elements   -0.656 eV per atom

Unit cell a=4.4170 b=4.4170 c=4.4170 alpha=90.00 beta=90.00 gamma=90.00
Closest atoms and distances in Å follow each position.
Positions (direct):
Pd 0.5000 0.0000 0.0000  2 Be 2.21
Pd 0.0000 0.0000 0.5000  2 Be 2.21
Pm 0.5000 0.5000 0.5000  12 Pd 3.12
Pd 0.0000 0.5000 0.0000  2 Be 2.21
Be 0.0000 0.0000 0.0000  6 Pd 2.21



# Ac3Cd4In7

A relaxed Ac3Cd4In7 crystal (PBE, the Alexandria database).

Results
D(E_F)   5.606 states/eV/cell
Formation energy from the elements   -0.352 eV per atom

Unit cell a=4.8819 b=9.4899 c=9.3601 alpha=73.80 beta=74.88 gamma=75.10
Closest atoms and distances in Å follow each position.
Positions (direct):
Ac 0.0000 0.5000 0.5000  6 Cd 3.63-3.76, 6 In 3.64-3.68
Ac 0.3154 0.1837 0.1854  9 In 3.50-3.92, 5 Cd 3.59-3.85
In 0.8529 0.3775 0.9168  3 Cd 2.94-2.97, 2 In 3.23
In 0.6597 0.2161 0.4645  4 Cd 2.84-2.99, 1 In 2.95
Ac 0.6846 0.8163 0.8146  9 In 3.50-3.92, 5 Cd 3.59-3.85
In 0.5002 0.7924 0.2073  3 In 2.95-3.23, 3 Cd 2.98-3.24
In 0.3403 0.7839 0.5355  4 Cd 2.84-2.99, 1 In 2.95
In 0.1471 0.6225 0.0832  3 Cd 2.94-2.97, 2 In 3.23
Cd 0.3396 0.5337 0.7870  5 In 2.84-2.98
Cd 0.1489 0.0797 0.6225  5 In 2.96-3.24
In 0.0000 0.0000 0.0000  2 Cd 3.32, 6 In 3.37-3.39, 4 Ac 3.59
Cd 0.6604 0.4663 0.2130  5 In 2.84-2.98
In 0.4998 0.2076 0.7927  3 In 2.95-3.23, 3 Cd 2.98-3.24
Cd 0.8511 0.9203 0.3775  5 In 2.96-3.24



# LiVAs

A relaxed LiVAs crystal (PBE, the Alexandria database).

Results
Offset from the most stable computed form   299 meV per atom
D(E_F)   1.613 states/eV/cell
Formation energy from the elements   -0.278 eV per atom

Unit cell a=4.1786 b=4.1786 c=4.1786 alpha=60.00 beta=60.00 gamma=60.00
Closest atoms and distances in Å follow each position.
Positions (direct):
As 0.5000 0.5000 0.5000  4 V 2.56, 4 Li 2.56
Li 0.2500 0.2500 0.2500  4 As 2.56
V 0.7500 0.7500 0.7500  4 As 2.56



# LaMgInSn

A relaxed LaMgInSn crystal (PBE, the Alexandria database).

Results
D(E_F)   2.123 states/eV/cell
Formation energy from the elements   -0.504 eV per atom

Unit cell a=4.6141 b=4.7774 c=4.8960 alpha=90.00 beta=90.00 gamma=90.00
Closest atoms and distances in Å follow each position.
Positions (direct):
Mg 0.5000 0.0000 0.5000  4 In 3.32, 4 Sn 3.36, 4 La 3.42
La 0.5000 0.5000 0.0000  4 Sn 3.32, 4 In 3.36, 4 Mg 3.42
In 0.0000 0.5000 0.5000  4 Mg 3.32, 4 La 3.36, 4 Sn 3.42
Sn 0.0000 0.0000 0.0000  4 La 3.32, 4 Mg 3.36, 4 In 3.42



# PrS4Br

A relaxed PrS4Br crystal (PBE, the Alexandria database).

Results
Formation energy from raw total energies   -0.81 eV per atom
D(E_F)   6.312 states/eV/cell

Unit cell a=9.5573 b=5.5289 c=11.6832 alpha=94.71 beta=68.20 gamma=121.47
Closest atoms and distances in Å follow each position.
Positions (direct):
Pr 0.1653 0.1990 0.6694  6 S 2.82-3.01, 2 Br 2.95-2.96
Pr 0.8347 0.8010 0.3306  6 S 2.82-3.01, 2 Br 2.95-2.96
S 0.3131 0.3579 0.8522  1 S 2.01
S 0.9468 0.7962 0.0533  2 S 2.01-2.19
Br 0.9717 0.4144 0.2758  2 Pr 2.95-2.96
S 0.6869 0.6421 0.1478  1 S 2.01
S 0.5157 0.3355 0.5128  1 S 2.05
S 0.4843 0.6645 0.4872  1 S 2.05
S 0.0532 0.2038 0.9467  2 S 2.01-2.19
Br 0.0283 0.5856 0.7242  2 Pr 2.95-2.96
S 0.8782 0.9245 0.5669  1 S 2.01
S 0.1218 0.0755 0.4331  1 S 2.01



# Ca2MgScS4

A relaxed Ca2MgScS4 crystal (PBE, the Alexandria database).

Results
Formation energy from raw total energies   -1.85 eV per atom
D(E_F)   2.772 states/eV/cell

Unit cell a=3.8333 b=6.6959 c=6.7048 alpha=109.44 beta=90.00 gamma=90.00
Closest atoms and distances in Å follow each position.
Positions (direct):
Mg 0.5000 0.5000 0.0000  6 S 2.64-2.66
Ca 0.5000 0.0000 0.5000  6 S 2.81
S 0.0000 0.2581 0.7732  2 Mg 2.64, 1 Sc 2.65, 3 Ca 2.81-2.82
S 0.5000 0.7567 0.7702  2 Sc 2.65, 1 Mg 2.66, 3 Ca 2.80-2.81
Ca 0.0000 0.5000 0.5000  6 S 2.80-2.82
S 0.5000 0.2433 0.2298  2 Sc 2.65, 1 Mg 2.66, 3 Ca 2.80-2.81
Sc 0.0000 0.0000 0.0000  6 S 2.65
S 0.0000 0.7419 0.2268  2 Mg 2.64, 1 Sc 2.65, 3 Ca 2.81-2.82



# CeErTe2

A relaxed CeErTe2 crystal (PBE, the Alexandria database).

Results
Offset from the most stable computed form   153 meV per atom
Formation energy from raw total energies   -1.15 eV per atom
D(E_F)   6.648 states/eV/cell

Unit cell a=5.3826 b=5.3826 c=5.3826 alpha=60.00 beta=60.00 gamma=60.00
Closest atoms and distances in Å follow each position.
Positions (direct):
Ce 0.5000 0.5000 0.5000  8 Te 3.30
Te 0.2500 0.2500 0.2500  4 Ce 3.30, 4 Er 3.30
Te 0.7500 0.7500 0.7500  4 Er 3.30, 4 Ce 3.30
Er 0.0000 0.0000 0.0000  8 Te 3.30



# GaPdNF2

A relaxed GaPdNF2 crystal (PBE, the Alexandria database).

Results
Offset from the most stable computed form   183 meV per atom
Formation energy from raw total energies   -0.32 eV per atom
D(E_F)   2.232 states/eV/cell

Unit cell a=4.5853 b=4.5853 c=3.6863 alpha=90.00 beta=90.00 gamma=90.00
Closest atoms and distances in Å follow each position.
Positions (direct):
Ga 0.5000 0.5000 0.5000  8 F 2.94, 4 N 3.24
F 0.5000 0.0000 0.0000  2 Pd 2.29
F 0.0000 0.5000 0.0000  2 Pd 2.29
N 0.0000 0.0000 0.5000  2 Pd 1.84
Pd 0.0000 0.0000 0.0000  2 N 1.84



| no. | total moment (μB per cell) |
| --- | --- |
| 1 | 0.00 |
| 2 | 2.15 |
| 3 | 0.00 |
| 4 | 0.00 |
| 5 | 0.00 |
| 6 | 0.00 |
| 7 | 0.00 |
| 8 | 0.00 |
| 9 | 0.00 |
| 10 | 0.00 |
| 11 | 0.00 |
| 12 | 0.00 |
| 13 | 0.00 |
| 14 | 0.00 |
| 15 | 2.50 |
| 16 | 0.00 |
| 17 | 0.03 |
| 18 | 0.00 |
| 19 | 2.04 |
| 20 | 0.00 |